# 1
# PmSm3Cl, relaxed, DFT PBE
data_PmSm3Cl
_chemical_formula_sum 'Pm1 Sm3 Cl1'
_cell_length_a 5.423
_cell_length_b 5.423
_cell_length_c 5.423
_cell_angle_alpha 90.00
_cell_angle_beta 90.00
_cell_angle_gamma 90.00
_symmetry_space_group_name_H-M 'P 1'
_symmetry_Int_Tables_number 1
_symmetry_space_group_name_Hall 'P 1'
loop_
_atom_site_label
_atom_site_type_symbol
_atom_site_fract_x
_atom_site_fract_y
_atom_site_fract_z
_atom_site_occupancy
Pm1 Pm 0.500 0.500 0.500 1
Sm1 Sm 0.500 0.000 0.000 1
Cl1 Cl 0.000 0.000 0.000 1
Sm2 Sm 0.000 0.000 0.500 1
Sm3 Sm 0.000 0.500 0.000 1
# **M_tot**: 0.00 Bohr magnetons per cell
# **E_form (uncorrected)**: -0.493 eV/atom

# 2
# PmSmCl, relaxed, DFT PBE
data_PmSmCl
_chemical_formula_sum 'Pm1 Sm1 Cl1'
_cell_length_a 3.768
_cell_length_b 3.768
_cell_length_c 7.205
_cell_angle_alpha 90.00
_cell_angle_beta 90.00
_cell_angle_gamma 120.00
_symmetry_space_group_name_H-M 'P 1'
_symmetry_Int_Tables_number 1
_symmetry_space_group_name_Hall 'P 1'
loop_
_atom_site_label
_atom_site_type_symbol
_atom_site_fract_x
_atom_site_fract_y
_atom_site_fract_z
_atom_site_occupancy
Sm1 Sm 0.333 0.667 0.639 1
Pm1 Pm 0.000 0.000 0.026 1
Cl1 Cl 0.667 0.333 0.335 1
# **M_tot**: 0.45 Bohr magnetons per cell
# **E_form (uncorrected)**: -0.904 eV/atom

# 3
# PmSmCl2, relaxed, DFT PBE
data_PmSmCl2
_chemical_formula_sum 'Pm1 Sm1 Cl2'
_cell_length_a 3.561
_cell_length_b 3.561
_cell_length_c 9.048
_cell_angle_alpha 78.65
_cell_angle_beta 78.65
_cell_angle_gamma 60.00
_symmetry_space_group_name_H-M 'P 1'
_symmetry_Int_Tables_number 1
_symmetry_space_group_name_Hall 'P 1'
loop_
_atom_site_label
_atom_site_type_symbol
_atom_site_fract_x
_atom_site_fract_y
_atom_site_fract_z
_atom_site_occupancy
Cl1 Cl 0.083 0.083 0.751 1
Pm1 Pm 0.501 0.501 0.497 1
Sm1 Sm 0.666 0.666 0.002 1
Cl2 Cl 0.250 0.250 0.249 1
# **M_tot**: 0.00 Bohr magnetons per cell
# **E_form (uncorrected)**: -1.347 eV/atom